The following is a PBE+U calculation of an optimized crystal structure of AlCu2NiO, from Alexandria via LeMat-Bulk.

a b c (Å): 4.6671 4.6671 3.3533
angles (deg): 90.00 90.00 90.00
Fractional coordinates of all 5 atoms:
Al: 0.0000 0.0000 0.0000
Cu: 0.0000 0.5000 0.0000
Cu: 0.5000 0.0000 0.0000
Ni: 0.5000 0.5000 0.5000
O: 0.0000 0.0000 0.5000

Properties
Symmetry = P4/mmm (123)
E_tot = -3.471 eV per atom

The following is a PBE+U calculation of an optimized crystal structure of AlCuNi2O5, from Alexandria via LeMat-Bulk.

a b c (Å): 8.3072 8.3072 9.3621
angles (deg): 90.00 90.00 160.45
Fractional coordinates of all 18 atoms:
Al: 0.1892 0.8108 0.5000
Al: 0.8108 0.1892 0.0000
Cu: 0.4308 0.5692 0.8370
Cu: 0.5692 0.4308 0.3370
Ni: 0.1198 0.8802 0.0564
Ni: 0.1934 0.8066 0.7938
Ni: 0.8066 0.1934 0.2938
Ni: 0.8802 0.1198 0.5564
O: 0.0712 0.9288 0.4682
O: 0.3098 0.6902 0.1421
O: 0.3099 0.6901 0.8682
O: 0.3151 0.6849 0.4589
O: 0.4389 0.5611 0.6394
O: 0.5611 0.4389 0.1394
O: 0.6849 0.3151 0.9589
O: 0.6901 0.3099 0.3682
O: 0.6902 0.3098 0.6421
O: 0.9288 0.0712 0.9682

Properties
Symmetry = Cmc2_1 (36)
E_tot = -5.253 eV per atom

no.,magnetic moment (μB per cell)
1,0.0
2,6.3